(1)
Ac8Ru3I4Br (PBE, relaxed); final energy = -5.0956 eV/atom
1.0
4.481 2.587 8.568
-4.481 2.587 8.568
0.000 -5.174 8.568
Ac Ru I Br
8 3 4 1
direct
0.198 0.744 0.744 Ac
0.230 0.230 0.230 Ac
0.256 0.256 0.802 Ac
0.256 0.802 0.256 Ac
0.744 0.198 0.744 Ac
0.744 0.744 0.198 Ac
0.770 0.770 0.770 Ac
0.802 0.256 0.256 Ac
0.000 0.000 0.500 Ru
0.000 0.500 0.000 Ru
0.500 0.000 0.000 Ru
0.000 0.000 0.000 I
0.000 0.500 0.500 I
0.500 0.000 0.500 I
0.500 0.500 0.000 I
0.500 0.500 0.500 Br

---

(2)
Na3PuO3 (PBE, relaxed); final energy = -6.6537 eV/atom; E above lowest polymorph = 0.000 eV/atom
1.0
-3.434 3.440 4.959
3.434 -3.440 4.959
3.434 3.440 -4.959
Na Pu O
6 2 6
direct
0.267 0.000 0.767 Na
0.267 0.500 0.267 Na
0.277 0.027 0.250 Na
0.723 0.973 0.750 Na
0.733 0.000 0.233 Na
0.733 0.500 0.733 Na
0.269 0.519 0.750 Pu
0.731 0.481 0.250 Pu
0.000 0.283 0.283 O
0.000 0.717 0.717 O
0.480 0.730 0.750 O
0.500 0.283 0.783 O
0.500 0.717 0.217 O
0.520 0.270 0.250 O

---

(3)
Na2SiSbO4 (PBE, relaxed); final energy = -5.8077 eV/atom
1.0
-3.028 3.028 3.134
3.028 -3.028 3.134
3.028 3.028 -3.134
Na Si Sb O
2 1 1 4
direct
0.000 0.000 0.000 Na
0.750 0.250 0.500 Na
0.500 0.500 0.000 Si
0.250 0.750 0.500 Sb
0.192 0.500 0.015 O
0.485 0.177 0.985 O
0.500 0.515 0.691 O
0.823 0.808 0.309 O

---

(4)
Rb2LaAlRh (PBE, relaxed); final energy = -2.9210 eV/atom; energy of formation = 0.67 eV per atom
1.0
5.995 0.000 0.000
0.000 5.995 0.000
0.000 0.000 4.683
Rb La Al Rh
2 1 1 1
direct
0.000 0.500 0.000 Rb
0.500 0.000 0.000 Rb
0.000 0.000 0.500 La
0.500 0.500 0.500 Al
0.500 0.500 0.000 Rh

---

(5)
K2TaReN4 (PBE, relaxed); final energy = -7.9023 eV/atom
1.0
6.172 0.000 0.000
0.000 6.826 0.000
0.000 0.000 6.865
K Ta Re N
4 2 2 8
direct
0.250 0.001 0.210 K
0.250 0.499 0.210 K
0.750 0.501 0.790 K
0.750 0.999 0.790 K
0.250 0.750 0.659 Ta
0.750 0.250 0.341 Ta
0.250 0.250 0.667 Re
0.750 0.750 0.333 Re
0.008 0.250 0.503 N
0.250 0.006 0.801 N
0.250 0.494 0.801 N
0.492 0.250 0.503 N
0.508 0.750 0.497 N
0.750 0.506 0.199 N
0.750 0.994 0.199 N
0.992 0.750 0.497 N

---

(6)
PaAgHgI6 (PBE, relaxed); final energy = -3.0919 eV/atom
1.0
7.497 0.000 0.000
-3.749 6.493 0.000
0.000 0.000 19.047
Pa Ag Hg I
2 2 2 12
direct
0.333 0.667 0.250 Pa
0.667 0.333 0.750 Pa
0.333 0.667 0.750 Ag
0.667 0.333 0.250 Ag
0.000 0.000 0.000 Hg
0.000 0.000 0.500 Hg
0.012 0.350 0.158 I
0.012 0.662 0.342 I
0.338 0.350 0.342 I
0.338 0.988 0.158 I
0.350 0.012 0.658 I
0.350 0.338 0.842 I
0.650 0.662 0.158 I
0.650 0.988 0.342 I
0.662 0.012 0.842 I
0.662 0.650 0.658 I
0.988 0.338 0.658 I
0.988 0.650 0.842 I

---

(7)
Cs3DyU2O9 (PBE, relaxed); final energy = -7.7588 eV/atom
1.0
6.245 0.000 0.000
-3.123 5.409 0.000
0.000 0.000 7.644
Cs Dy U O
3 1 2 9
direct
0.000 0.000 0.000 Cs
0.333 0.667 0.663 Cs
0.667 0.333 0.337 Cs
0.000 0.000 0.500 Dy
0.333 0.667 0.166 U
0.667 0.333 0.834 U
0.000 0.500 0.000 O
0.177 0.354 0.320 O
0.177 0.823 0.320 O
0.354 0.177 0.680 O
0.500 0.000 0.000 O
0.500 0.500 0.000 O
0.646 0.823 0.320 O
0.823 0.177 0.680 O
0.823 0.646 0.680 O

---

(8)
Na3AlPd (PBE, relaxed); final energy = -2.1914 eV/atom; energy of formation = 0.39 eV per atom; E above lowest polymorph = 0.000 eV/atom
1.0
5.371 0.000 0.000
0.000 5.371 0.000
0.000 0.000 5.371
Na Al Pd
3 1 1
direct
0.000 0.000 0.500 Na
0.000 0.500 0.000 Na
0.500 0.000 0.000 Na
0.500 0.500 0.500 Al
0.000 0.000 0.000 Pd